This record from the Alexandria database describes an optimized crystal structure of Ac3FePb. The functional is PBE.

a = 5.5012 Å, b = 5.5012 Å, c = 5.5012 Å
α = 90.00°, β = 90.00°, γ = 90.00°
Closest atoms and distances in Å follow each position.
Atoms (fractional coordinates):
Ac  0.0000  0.0000  0.5000  2 Fe 2.75
Ac  0.0000  0.5000  0.0000  2 Fe 2.75
Ac  0.5000  0.0000  0.0000  2 Fe 2.75
Fe  0.0000  0.0000  0.0000  6 Ac 2.75
Pb  0.5000  0.5000  0.5000  12 Ac 3.89

Properties
- ρ (g/cm³) = 9.416
- energy of formation (eV/f.u.) = -0.9
- calculated volume (Å³ per cell) = 166

This record from the Alexandria database describes an optimized crystal structure of Ac8FePd2. The functional is PBE.

a = 7.8724 Å, b = 7.8724 Å, c = 7.8514 Å
α = 90.97°, β = 90.97°, γ = 58.35°
Closest atoms and distances in Å follow each position.
Atoms (fractional coordinates):
Ac  0.2023  0.2023  0.5984  1 Pd 2.95
Ac  0.2083  0.7110  0.7542  1 Fe 2.78
Ac  0.2890  0.7917  0.2458  1 Fe 2.78
Ac  0.2969  0.2969  0.1020  1 Fe 2.92, 1 Pd 3.01
Ac  0.7031  0.7031  0.8980  1 Fe 2.92, 1 Pd 3.01
Ac  0.7110  0.2083  0.7542  1 Fe 2.78
Ac  0.7917  0.2890  0.2458  1 Fe 2.78
Ac  0.7977  0.7977  0.4016  1 Pd 2.95
Fe  0.5000  0.5000  0.0000  6 Ac 2.78-2.92
Pd  0.3965  0.3965  0.4464  6 Ac 2.95-3.20, 1 Pd 2.95
Pd  0.6035  0.6035  0.5536  6 Ac 2.95-3.20, 1 Pd 2.95

Properties
- ρ (g/cm³) = 8.359
- energy of formation (eV/f.u.) = -2.1
- calculated volume (Å³ per cell) = 414

This record from the Alexandria database describes an optimized crystal structure of Ac6FePd2. The functional is PBE.

a = 7.1552 Å, b = 7.9107 Å, c = 12.7189 Å
α = 90.00°, β = 120.79°, γ = 90.00°
Closest atoms and distances in Å follow each position.
Atoms (fractional coordinates):
Ac  0.0920  0.0443  0.2446  1 Fe 2.85, 2 Pd 3.12-3.17
Ac  0.0920  0.4557  0.7446  1 Fe 2.85, 2 Pd 3.12-3.17
Ac  0.2390  0.6877  0.0723  1 Fe 2.87, 1 Pd 3.14
Ac  0.2390  0.8123  0.5723  1 Fe 2.87, 1 Pd 3.14
Ac  0.3843  0.1783  0.0645  1 Fe 2.81, 1 Pd 3.11
Ac  0.3843  0.3217  0.5645  1 Fe 2.81, 1 Pd 3.11
Ac  0.6157  0.6783  0.4355  1 Fe 2.81, 1 Pd 3.11
Ac  0.6157  0.8217  0.9355  1 Fe 2.81, 1 Pd 3.11
Ac  0.7610  0.1877  0.4277  1 Fe 2.87, 1 Pd 3.14
Ac  0.7610  0.3123  0.9277  1 Fe 2.87, 1 Pd 3.14
Ac  0.9080  0.5443  0.2554  1 Fe 2.85, 2 Pd 3.12-3.17
Ac  0.9080  0.9557  0.7554  1 Fe 2.85, 2 Pd 3.12-3.17
Fe  0.0000  0.0000  0.0000  6 Ac 2.81-2.87
Fe  0.0000  0.5000  0.5000  6 Ac 2.81-2.87
Pd  0.3249  0.1131  0.7667  6 Ac 3.11-3.26
Pd  0.3249  0.3869  0.2667  6 Ac 3.11-3.26
Pd  0.6751  0.6131  0.7333  6 Ac 3.11-3.26
Pd  0.6751  0.8869  0.2333  6 Ac 3.11-3.26

Properties
- ρ (g/cm³) = 8.757
- energy of formation (eV/f.u.) = -2.8
- calculated volume (Å³ per cell) = 618

This record from the Alexandria database describes an optimized crystal structure of AcPm2Fe. The functional is PBE.

a = 11.0974 Å, b = 11.0974 Å, c = 11.0974 Å
α = 19.44°, β = 19.44°, γ = 19.44°
Closest atoms and distances in Å follow each position.
Atoms (fractional coordinates):
Ac  0.0000  0.0000  0.0000  2 Pm 3.72, 6 Ac 3.75
Pm  0.1139  0.1139  0.1139  3 Fe 2.77
Pm  0.8861  0.8861  0.8861  3 Fe 2.77
Fe  0.5000  0.5000  0.5000  6 Pm 2.77

Properties
- ρ (g/cm³) = 7.186
- energy of formation (eV/f.u.) = 1.4
- calculated volume (Å³ per cell) = 132

This record from the Alexandria database describes an optimized crystal structure of AcPm2Fe. The functional is PBE.

a = 3.6095 Å, b = 3.6095 Å, c = 9.3130 Å
α = 90.00°, β = 90.00°, γ = 90.00°
Closest atoms and distances in Å follow each position.
Atoms (fractional coordinates):
Ac  0.0000  0.0000  0.0000  4 Ac 3.61, 8 Pm 3.94
Pm  0.5000  0.5000  0.3228  4 Fe 3.04, 1 Pm 3.30
Pm  0.5000  0.5000  0.6772  4 Fe 3.04, 1 Pm 3.30
Fe  0.0000  0.0000  0.5000  8 Pm 3.04

Properties
- ρ (g/cm³) = 7.840
- energy of formation (eV/f.u.) = 0.7
- calculated volume (Å³ per cell) = 121

This record from the Alexandria database describes an optimized crystal structure of Ac2PmFe. The functional is PBE.

a = 11.7230 Å, b = 11.7230 Å, c = 11.7230 Å
α = 18.36°, β = 18.36°, γ = 18.36°
Closest atoms and distances in Å follow each position.
Atoms (fractional coordinates):
Ac  0.0763  0.0763  0.0763  1 Fe 2.64
Ac  0.9237  0.9237  0.9237  1 Fe 2.64
Pm  0.5000  0.5000  0.5000  6 Pm 3.74, 6 Ac 3.80
Fe  0.0000  0.0000  0.0000  2 Ac 2.64

Properties
- ρ (g/cm³) = 7.785
- energy of formation (eV/f.u.) = 2.9
- calculated volume (Å³ per cell) = 140

This record from the Alexandria database describes an optimized crystal structure of AcPr2Fe. The functional is PBE.

a = 11.6635 Å, b = 11.6635 Å, c = 11.6635 Å
α = 18.02°, β = 18.02°, γ = 18.02°
Closest atoms and distances in Å follow each position.
Atoms (fractional coordinates):
Ac  0.0000  0.0000  0.0000  6 Ac 3.65, 6 Pr 3.84
Pr  0.4265  0.4265  0.4265  1 Fe 2.53
Pr  0.5735  0.5735  0.5735  1 Fe 2.53
Fe  0.5000  0.5000  0.5000  2 Pr 2.53

Properties
- ρ (g/cm³) = 7.071
- energy of formation (eV/f.u.) = 2.7
- calculated volume (Å³ per cell) = 133

This record from the Alexandria database describes an optimized crystal structure of AcPr3Fe. The functional is PBE.

a = 5.5394 Å, b = 5.5394 Å, c = 5.5394 Å
α = 90.00°, β = 90.00°, γ = 90.00°
Closest atoms and distances in Å follow each position.
Atoms (fractional coordinates):
Ac  0.0000  0.0000  0.0000  12 Pr 3.92
Pr  0.0000  0.5000  0.5000  2 Fe 2.77
Pr  0.5000  0.0000  0.5000  2 Fe 2.77
Pr  0.5000  0.5000  0.0000  2 Fe 2.77
Fe  0.5000  0.5000  0.5000  6 Pr 2.77

Properties
- ρ (g/cm³) = 6.893
- energy of formation (eV/f.u.) = 1.0
- calculated volume (Å³ per cell) = 170

This record from the Alexandria database describes an optimized crystal structure of Ac3PrFe. The functional is PBE.

a = 5.6688 Å, b = 5.6688 Å, c = 5.6688 Å
α = 90.00°, β = 90.00°, γ = 90.00°
Closest atoms and distances in Å follow each position.
Atoms (fractional coordinates):
Ac  0.0000  0.0000  0.5000  2 Fe 2.83
Ac  0.0000  0.5000  0.0000  2 Fe 2.83
Ac  0.5000  0.0000  0.0000  2 Fe 2.83
Pr  0.5000  0.5000  0.5000  12 Ac 4.01
Fe  0.0000  0.0000  0.0000  6 Ac 2.83

Properties
- ρ (g/cm³) = 8.001
- energy of formation (eV/f.u.) = 1.0
- calculated volume (Å³ per cell) = 182

This record from the Alexandria database describes an optimized crystal structure of Ac2FeSi3Pt12. The functional is PBE.

a = 7.9107 Å, b = 7.9107 Å, c = 7.9107 Å
α = 62.51°, β = 62.51°, γ = 62.51°
Closest atoms and distances in Å follow each position.
Atoms (fractional coordinates):
Ac  0.1181  0.1181  0.1181  6 Pt 3.01-3.04
Ac  0.8819  0.8819  0.8819  6 Pt 3.01-3.04
Fe  0.5000  0.5000  0.5000  6 Pt 2.45
Si  0.0000  0.5000  0.5000  6 Pt 2.33-2.36
Si  0.5000  0.0000  0.5000  6 Pt 2.33-2.36
Si  0.5000  0.5000  0.0000  6 Pt 2.33-2.36
Pt  0.1326  0.6176  0.6176  1 Si 2.33, 1 Fe 2.45
Pt  0.1478  0.1478  0.6025  2 Si 2.36
Pt  0.1478  0.6025  0.1478  2 Si 2.36
Pt  0.3824  0.3824  0.8674  1 Si 2.33, 1 Fe 2.45
Pt  0.3824  0.8674  0.3824  1 Si 2.33, 1 Fe 2.45
Pt  0.3975  0.8522  0.8522  2 Si 2.36
Pt  0.6025  0.1478  0.1478  2 Si 2.36
Pt  0.6176  0.1326  0.6176  1 Si 2.33, 1 Fe 2.45
Pt  0.6176  0.6176  0.1326  1 Si 2.33, 1 Fe 2.45
Pt  0.8522  0.3975  0.8522  2 Si 2.36
Pt  0.8522  0.8522  0.3975  2 Si 2.36
Pt  0.8674  0.3824  0.3824  1 Si 2.33, 1 Fe 2.45

Properties
- ρ (g/cm³) = 13.186
- calculated volume (Å³ per cell) = 370
- uncorrected energy (eV/cell) = -114.24

This record from the Alexandria database describes an optimized crystal structure of Ac2FeSiPt6. The functional is PBE.

a = 6.6395 Å, b = 6.6395 Å, c = 8.2363 Å
α = 126.62°, β = 126.62°, γ = 50.13°
Closest atoms and distances in Å follow each position.
Atoms (fractional coordinates):
Ac  0.2420  0.2420  0.1991  9 Pt 3.14-3.49
Ac  0.7580  0.7580  0.8009  9 Pt 3.14-3.49
Fe  0.5000  0.5000  0.0000  6 Pt 2.53-2.55
Si  0.0000  0.0000  0.5000  6 Pt 2.44-2.45
Pt  0.2414  0.7370  0.7309  1 Si 2.44, 1 Fe 2.55
Pt  0.2495  0.2495  0.6236  1 Si 2.45, 1 Fe 2.53
Pt  0.2630  0.7586  0.2691  1 Si 2.44, 1 Fe 2.55
Pt  0.7370  0.2414  0.7309  1 Si 2.44, 1 Fe 2.55
Pt  0.7505  0.7505  0.3764  1 Si 2.45, 1 Fe 2.53
Pt  0.7586  0.2630  0.2691  1 Si 2.44, 1 Fe 2.55

Properties
- ρ (g/cm³) = 13.529
- calculated volume (Å³ per cell) = 210
- uncorrected energy (eV/cell) = -66.63

Q: Which formula does entry 8 have?
A: AcPr3Fe